No. 1
K2RbSnF after structural relaxation. Source: Alexandria, functional PBE.

DFT total energy in eV for the cell shown: -14.27
Uncorrected formation energy in meV per atom: -1045.8
Total magnetic moment in μB per cell: 1.57

Unit cell a=5.5063 b=5.5063 c=5.7114 alpha=90.00 beta=90.00 gamma=90.00
Last column: nearest neighbours and their distance in Å.
Positions (direct):
K  0.5000  0.0000  0.0000  2 F 2.75
K  0.0000  0.5000  0.0000  2 F 2.75
Sn  0.5000  0.5000  0.5000  4 Rb 3.89, 8 K 3.97
Rb  0.0000  0.0000  0.5000  2 F 2.86
F  0.0000  0.0000  0.0000  4 K 2.75, 2 Rb 2.86


No. 2
B2C after structural relaxation. Source: Alexandria, functional PBE.

DFT total energy in eV for the cell shown: -42.48
Energy relative to the elements in eV/atom: 0.45
Total magnetic moment in μB per cell: 0.00
Polymorph energy (0 for the lowest one) in meV per atom: 260

Unit cell a=5.0937 b=5.0937 c=3.6913 alpha=70.24 beta=70.24 gamma=30.38
Last column: nearest neighbours and their distance in Å.
Positions (direct):
B  0.1259  0.1259  0.1084  2 C 1.56
B  0.7316  0.7316  0.3387  1 C 1.64, 1 B 1.75
B  0.8741  0.8741  0.8916  2 C 1.56
B  0.2684  0.2684  0.6613  1 C 1.64, 1 B 1.75
C  0.5663  0.5663  0.3263  1 C 1.47, 3 B 1.56-1.64
C  0.4337  0.4337  0.6737  1 C 1.47, 3 B 1.56-1.64


No. 3
Ba3PmNd3Se8 after structural relaxation. Source: Alexandria, functional PBE.

DFT total energy in eV for the cell shown: -81.79
Uncorrected formation energy in meV per atom: -1939.4
Total magnetic moment in μB per cell: 0.00

Unit cell a=8.6643 b=8.6647 c=9.0681 alpha=118.54 beta=90.00 gamma=120.00
Last column: nearest neighbours and their distance in Å.
Positions (direct):
Ba  0.0000  0.5000  0.0000  6 Se 3.26-3.28
Ba  0.5000  0.5000  0.0000  6 Se 3.26-3.28
Ba  0.0000  0.0000  0.0000  6 Se 3.26-3.28
Nd  0.5000  0.0000  0.5000  6 Se 3.00-3.02
Nd  0.0000  0.5000  0.5000  6 Se 3.00-3.02
Nd  0.5000  0.5000  0.5000  6 Se 3.00-3.02
Pm  0.0000  0.0000  0.5000  6 Se 2.99
Se  0.7613  0.5227  0.2815  1 Pm 2.99, 2 Nd 3.00, 2 Ba 3.28
Se  0.7411  0.4822  0.7231  3 Nd 3.02, 3 Ba 3.26
Se  0.7408  0.9796  0.7180  1 Pm 2.99, 2 Nd 3.00, 2 Ba 3.28
Se  0.2388  0.9796  0.7180  1 Pm 2.99, 2 Nd 3.00, 2 Ba 3.28
Se  0.2387  0.4773  0.7185  1 Pm 2.99, 2 Nd 3.00, 2 Ba 3.28
Se  0.7612  0.0204  0.2820  1 Pm 2.99, 2 Nd 3.00, 2 Ba 3.28
Se  0.2589  0.5178  0.2769  3 Nd 3.02, 3 Ba 3.26
Se  0.2592  0.0204  0.2820  1 Pm 2.99, 2 Nd 3.00, 2 Ba 3.28


No. 4
NaCeAgSn after structural relaxation. Source: Alexandria, functional PBE.

DFT total energy in eV for the cell shown: -15.12
Energy relative to the elements in eV/atom: -0.25
Total magnetic moment in μB per cell: 0.76

Unit cell a=5.2611 b=5.2611 c=5.2611 alpha=60.00 beta=60.00 gamma=60.00
Last column: nearest neighbours and their distance in Å.
Positions (direct):
Ce  0.5000  0.5000  0.5000  4 Ag 3.22, 4 Sn 3.22
Ag  0.2500  0.2500  0.2500  4 Ce 3.22, 4 Na 3.22
Na  0.0000  0.0000  0.0000  4 Sn 3.22, 4 Ag 3.22
Sn  0.7500  0.7500  0.7500  4 Na 3.22, 4 Ce 3.22